LiCu3P3O11 | meta-GGA SCAN | PBEsol geometry

a b c (Å): 8.381 9.398 10.525
angles (deg): 90.00 93.62 90.00
Sites, in units of the cell vectors:
Li 0.054 0.238 0.486
Li 0.054 0.262 0.986
Li 0.946 0.738 0.014
Li 0.946 0.762 0.514
Cu 0.022 0.693 0.753
Cu 0.022 0.807 0.253
Cu 0.419 0.616 0.644
Cu 0.419 0.884 0.144
Cu 0.451 0.621 0.925
Cu 0.451 0.879 0.425
Cu 0.549 0.121 0.575
Cu 0.549 0.379 0.075
Cu 0.581 0.116 0.856
Cu 0.581 0.384 0.356
Cu 0.978 0.193 0.747
Cu 0.978 0.307 0.247
P 0.176 0.544 0.402
P 0.176 0.956 0.902
P 0.195 0.539 0.135
P 0.195 0.961 0.635
P 0.371 0.176 0.311
P 0.371 0.324 0.811
P 0.629 0.676 0.189
P 0.629 0.824 0.689
P 0.805 0.039 0.365
P 0.805 0.461 0.865
P 0.824 0.044 0.098
P 0.824 0.456 0.598
O 0.042 0.068 0.891
O 0.042 0.432 0.391
O 0.069 0.079 0.616
O 0.069 0.421 0.116
O 0.113 0.697 0.393
O 0.113 0.803 0.893
O 0.130 0.692 0.130
O 0.130 0.808 0.630
O 0.196 0.203 0.318
O 0.196 0.297 0.818
O 0.278 0.521 0.276
O 0.278 0.979 0.776
O 0.296 0.519 0.514
O 0.296 0.981 0.014
O 0.322 0.515 0.040
O 0.322 0.985 0.540
O 0.399 0.014 0.288
O 0.399 0.486 0.788
O 0.465 0.233 0.716
O 0.465 0.234 0.438
O 0.465 0.266 0.938
O 0.465 0.267 0.216
O 0.535 0.733 0.784
O 0.535 0.734 0.062
O 0.535 0.766 0.562
O 0.535 0.767 0.284
O 0.601 0.514 0.212
O 0.601 0.986 0.712
O 0.678 0.015 0.460
O 0.678 0.485 0.960
O 0.704 0.019 0.986
O 0.704 0.481 0.486
O 0.722 0.021 0.224
O 0.722 0.479 0.724
O 0.804 0.703 0.182
O 0.804 0.797 0.682
O 0.870 0.192 0.370
O 0.870 0.308 0.870
O 0.887 0.197 0.107
O 0.887 0.303 0.607
O 0.931 0.579 0.884
O 0.931 0.921 0.384
O 0.958 0.568 0.609
O 0.958 0.932 0.109

Computed properties:
Formation energy without anion corrections, kJ/mol of formula units: -3311
Calculated total energy, eV per atom: -10.113

---

SrAs2P | meta-GGA SCAN | PBEsol geometry

a b c (Å): 4.021 4.021 6.448
angles (deg): 90.00 90.00 90.00
Sites, in units of the cell vectors:
Sr 0.000 0.000 0.000
As 0.000 0.000 0.496
As 0.500 0.500 0.586
P 0.500 0.500 0.935

Computed properties:
Calculated total energy, eV per atom: -18.598
ΔE_f, kJ/mol of atoms: -32.2

---

BeFeMo | meta-GGA SCAN | PBEsol geometry

a b c (Å): 3.928 3.928 2.542
angles (deg): 90.00 90.00 120.00
Sites, in units of the cell vectors:
Be 0.000 0.000 0.000
Fe 0.333 0.667 0.806
Mo 0.667 0.333 0.451

Computed properties:
Calculated total energy, eV per atom: -19.081
ΔE_f, kJ/mol of atoms: 4.1

---

MnTlB3 | meta-GGA SCAN | PBEsol geometry

a b c (Å): 3.951 3.951 3.951
angles (deg): 90.00 90.00 90.00
Sites, in units of the cell vectors:
Mn 0.000 0.000 0.000
Tl 0.500 0.500 0.500
B 0.000 0.000 0.500
B 0.000 0.500 0.000
B 0.500 0.000 0.000

Computed properties:
Calculated total energy, eV per atom: -21.493
ΔE_f, kJ/mol of atoms: 104.9

---

CaZrAs2 | meta-GGA SCAN | PBEsol geometry

a b c (Å): 3.905 3.905 20.204
angles (deg): 90.00 90.00 120.00
Sites, in units of the cell vectors:
Ca 0.000 0.000 0.000
Ca 0.333 0.667 0.667
Ca 0.667 0.333 0.333
Zr 0.000 0.000 0.500
Zr 0.333 0.667 0.167
Zr 0.667 0.333 0.833
As 0.000 0.000 0.243
As 0.000 0.000 0.757
As 0.333 0.667 0.424
As 0.333 0.667 0.909
As 0.667 0.333 0.091
As 0.667 0.333 0.576

Computed properties:
Calculated total energy, eV per atom: -21.525
ΔE_f, kJ/mol of atoms: -129.2

---

Si2Bi2Mo | meta-GGA SCAN | PBEsol geometry

a b c (Å): 6.618 6.618 4.714
angles (deg): 90.00 90.00 90.00
Sites, in units of the cell vectors:
Si 0.136 0.364 0.000
Si 0.364 0.864 0.000
Si 0.636 0.136 0.000
Si 0.864 0.636 0.000
Bi 0.178 0.678 0.500
Bi 0.322 0.178 0.500
Bi 0.678 0.822 0.500
Bi 0.822 0.322 0.500
Mo 0.000 0.000 0.000
Mo 0.500 0.500 0.000

Computed properties:
Formation energy without anion corrections, kJ/mol of formula units: 294
Calculated total energy, eV per atom: -41.806